No. 1
# CaTi2Ir | the Alexandria database | PBE | relaxed
# **Symmetry**: No. 225
# **Formation energy from the elements**: -4.0 kJ/mol of atoms
# **Distance to the lowest polymorph of the same formula**: 0.000 eV per atom
# **DOS(E_F)**: 1.30 states/eV per atom
data_CaTi2Ir
_space_group_name_H-M_alt 'P 1'
_space_group_IT_number 1
_cell_length_a 4.631
_cell_length_b 4.631
_cell_length_c 4.631
_cell_angle_alpha 60.00
_cell_angle_beta 60.00
_cell_angle_gamma 60.00
loop_
_space_group_symop_operation_xyz
'x,y,z'
loop_
_atom_site_label
_atom_site_type_symbol
_atom_site_fract_x
_atom_site_fract_y
_atom_site_fract_z
_atom_site_occupancy
Ca1 Ca 0.000 0.000 0.000 1
Ti1 Ti 0.250 0.250 0.250 1
Ti2 Ti 0.750 0.750 0.750 1
Ir1 Ir 0.500 0.500 0.500 1



No. 2
# Pr3Dy3Sc | the Alexandria database | PBE | relaxed
# **Symmetry**: No. 12
# **Formation energy from the elements**: 10.6 kJ/mol of atoms
# **Distance to the lowest polymorph of the same formula**: 0.070 eV per atom
# **DOS(E_F)**: 1.83 states/eV per atom
data_Pr3Dy3Sc
_space_group_name_H-M_alt 'P 1'
_space_group_IT_number 1
_cell_length_a 6.636
_cell_length_b 6.636
_cell_length_c 10.610
_cell_angle_alpha 90.06
_cell_angle_beta 90.06
_cell_angle_gamma 94.69
loop_
_space_group_symop_operation_xyz
'x,y,z'
loop_
_atom_site_label
_atom_site_type_symbol
_atom_site_fract_x
_atom_site_fract_y
_atom_site_fract_z
_atom_site_occupancy
Pr1 Pr 0.484 0.128 0.253 1
Pr2 Pr 0.327 0.327 0.925 1
Pr3 Pr 0.872 0.516 0.747 1
Pr4 Pr 0.516 0.872 0.747 1
Pr5 Pr 0.673 0.673 0.075 1
Pr6 Pr 0.128 0.484 0.253 1
Dy1 Dy 0.674 0.674 0.433 1
Dy2 Dy 0.817 0.183 0.500 1
Dy3 Dy 0.179 0.821 0.000 1
Dy4 Dy 0.821 0.179 0.000 1
Dy5 Dy 0.183 0.817 0.500 1
Dy6 Dy 0.326 0.326 0.567 1
Sc1 Sc 0.024 0.024 0.748 1
Sc2 Sc 0.976 0.976 0.252 1



No. 3
# CoSb2As | the Alexandria database | PBE | relaxed
# **Symmetry**: No. 71
# **Formation energy from raw total energies**: 0.143 eV/atom
# **DOS(E_F)**: 0.59 states/eV per atom
data_CoSb2As
_space_group_name_H-M_alt 'P 1'
_space_group_IT_number 1
_cell_length_a 8.041
_cell_length_b 8.041
_cell_length_c 8.041
_cell_angle_alpha 157.06
_cell_angle_beta 153.88
_cell_angle_gamma 35.04
loop_
_space_group_symop_operation_xyz
'x,y,z'
loop_
_atom_site_label
_atom_site_type_symbol
_atom_site_fract_x
_atom_site_fract_y
_atom_site_fract_z
_atom_site_occupancy
Co1 Co 0.250 0.750 0.500 1
As1 As 0.750 0.250 0.500 1
Sb1 Sb 0.101 0.101 0.000 1
Sb2 Sb 0.399 0.399 0.000 1